Compound: ZnNi4Hg
Source: the Alexandria database
Functional: GGA-PBE
Structure: optimized geometry

electronic total energy	-4.01	eV/atom
D(E_F)	4.36	states/eV/cell
SG	F-43m
crystal system	cubic
magnetization	0.293	μB/atom

Cell: 4.8233 4.8233 4.8233 Å, 60.00 60.00 60.00°
Last column: nearest neighbours and their distance in Å.
Sites, in units of the cell vectors:
Zn  0.0000  0.0000  0.0000  12 Ni 2.83, 4 Hg 2.95
Ni  0.3745  0.3745  0.3745  6 Ni 2.40-2.42
Ni  0.3745  0.3745  0.8764  6 Ni 2.40-2.42
Ni  0.3745  0.8764  0.3745  6 Ni 2.40-2.42
Ni  0.8764  0.3745  0.3745  6 Ni 2.40-2.42
Hg  0.7500  0.7500  0.7500  12 Ni 2.83, 4 Zn 2.95